VASP calculation (GGA-PBE) on a relaxed structure of CaZn2Ru.

ΔH_f (0 K), eV/atom: 0.33

Cell: 3.114 3.114 26.395 Å, 90.00 90.00 120.00°
Fractional coordinates of all 12 atoms:
Ca (0.000, 0.000, 0.000)
Ca (0.333, 0.667, 0.667)
Ca (0.667, 0.333, 0.333)
Zn (0.000, 0.000, 0.511)
Zn (0.000, 0.000, 0.765)
Zn (0.333, 0.667, 0.178)
Zn (0.333, 0.667, 0.432)
Zn (0.667, 0.333, 0.099)
Zn (0.667, 0.333, 0.844)
Ru (0.000, 0.000, 0.249)
Ru (0.333, 0.667, 0.915)
Ru (0.667, 0.333, 0.582)

VASP calculation (GGA-PBE) on a relaxed structure of Ca2ZnRu.

ΔH_f (0 K), eV/atom: -0.01

Cell: 3.464 3.464 8.023 Å, 90.00 90.00 90.00°
Fractional coordinates of all 4 atoms:
Ca (0.000, 0.000, 0.000)
Ca (0.500, 0.500, 0.407)
Zn (0.500, 0.500, 0.759)
Ru (0.000, 0.000, 0.648)

VASP calculation (GGA-PBE) on a relaxed structure of Ca2ZnRu.

ΔH_f (0 K), eV/atom: 0.02

Cell: 3.607 4.876 10.214 Å, 90.00 90.00 90.00°
Fractional coordinates of all 8 atoms:
Ca (0.000, 0.000, 0.000)
Ca (0.000, 0.500, 0.210)
Ca (0.500, 0.000, 0.710)
Ca (0.500, 0.500, 0.500)
Zn (0.000, 0.000, 0.432)
Zn (0.500, 0.500, 0.932)
Ru (0.000, 0.500, 0.761)
Ru (0.500, 0.000, 0.261)

VASP calculation (GGA-PBE) on a relaxed structure of CaZn2Ru.

ΔH_f (0 K), eV/atom: 0.00

Cell: 6.520 6.520 6.520 Å, 90.00 90.00 90.00°
Fractional coordinates of all 16 atoms:
Ca (0.000, 0.000, 0.000)
Ca (0.000, 0.500, 0.500)
Ca (0.500, 0.000, 0.500)
Ca (0.500, 0.500, 0.000)
Zn (0.250, 0.250, 0.250)
Zn (0.250, 0.250, 0.750)
Zn (0.250, 0.750, 0.250)
Zn (0.250, 0.750, 0.750)
Zn (0.750, 0.250, 0.250)
Zn (0.750, 0.250, 0.750)
Zn (0.750, 0.750, 0.250)
Zn (0.750, 0.750, 0.750)
Ru (0.000, 0.000, 0.500)
Ru (0.000, 0.500, 0.000)
Ru (0.500, 0.000, 0.000)
Ru (0.500, 0.500, 0.500)

VASP calculation (GGA-PBE) on a relaxed structure of CaZnRu.

ΔH_f (0 K), eV/atom: -0.11

Cell: 13.576 13.576 13.576 Å, 23.11 23.11 23.11°
Fractional coordinates of all 18 atoms:
Ca (0.040, 0.040, 0.040)
Ca (0.180, 0.180, 0.180)
Ca (0.268, 0.268, 0.268)
Ca (0.732, 0.732, 0.732)
Ca (0.820, 0.820, 0.820)
Ca (0.960, 0.960, 0.960)
Zn (0.231, 0.718, 0.718)
Zn (0.282, 0.282, 0.769)
Zn (0.282, 0.769, 0.282)
Zn (0.718, 0.231, 0.718)
Zn (0.718, 0.718, 0.231)
Zn (0.769, 0.282, 0.282)
Ru (0.000, 0.500, 0.500)
Ru (0.388, 0.388, 0.388)
Ru (0.500, 0.000, 0.500)
Ru (0.500, 0.500, 0.000)
Ru (0.500, 0.500, 0.500)
Ru (0.612, 0.612, 0.612)

VASP calculation (GGA-PBE) on a relaxed structure of CaZn2Ru.

ΔH_f (0 K), eV/atom: 0.08

Cell: 3.419 4.590 8.986 Å, 90.00 90.00 90.00°
Fractional coordinates of all 8 atoms:
Ca (0.000, 0.000, 0.000)
Ca (0.500, 0.500, 0.500)
Zn (0.000, 0.000, 0.483)
Zn (0.000, 0.500, 0.225)
Zn (0.500, 0.000, 0.725)
Zn (0.500, 0.500, 0.983)
Ru (0.000, 0.500, 0.766)
Ru (0.500, 0.000, 0.266)

VASP calculation (GGA-PBE) on a relaxed structure of CaZn2Ru.

ΔH_f (0 K), eV/atom: 0.31

Cell: 3.084 3.084 26.925 Å, 90.00 90.00 120.00°
Fractional coordinates of all 12 atoms:
Ca (0.000, 0.000, 0.000)
Ca (0.333, 0.667, 0.667)
Ca (0.667, 0.333, 0.333)
Zn (0.000, 0.000, 0.239)
Zn (0.000, 0.000, 0.761)
Zn (0.333, 0.667, 0.428)
Zn (0.333, 0.667, 0.905)
Zn (0.667, 0.333, 0.095)
Zn (0.667, 0.333, 0.572)
Ru (0.000, 0.000, 0.500)
Ru (0.333, 0.667, 0.167)
Ru (0.667, 0.333, 0.833)

VASP calculation (GGA-PBE) on a relaxed structure of CaZn2Ru2.

ΔH_f (0 K), eV/atom: 0.09
Energy relative to the lowest polymorph listed for this composition, meV/atom: 24.8

Cell: 4.500 4.500 9.249 Å, 90.00 90.00 90.00°
Fractional coordinates of all 10 atoms:
Ca (0.000, 0.000, 0.000)
Ca (0.500, 0.500, 0.500)
Zn (0.000, 0.500, 0.250)
Zn (0.000, 0.500, 0.750)
Zn (0.500, 0.000, 0.250)
Zn (0.500, 0.000, 0.750)
Ru (0.000, 0.000, 0.376)
Ru (0.000, 0.000, 0.624)
Ru (0.500, 0.500, 0.124)
Ru (0.500, 0.500, 0.876)